1.
# Y2FePt2 | the Alexandria database | PBE | optimized geometry
data_Y2FePt2
_cell_length_a 7.0986
_cell_length_b 7.0986
_cell_length_c 4.1494
_cell_angle_alpha 90.00
_cell_angle_beta 90.00
_cell_angle_gamma 90.00
_space_group_name_H-M_alt 'P 4/m b m'
_space_group_IT_number 127
_space_group_name_Hall '-P 4 2ab'
loop_
_atom_site_label
_atom_site_type_symbol
_atom_site_fract_x
_atom_site_fract_y
_atom_site_fract_z
Y1 Y 0.1699 0.3301 0.0000
Fe1 Fe 0.0000 0.0000 0.5000
Pt1 Pt 0.1407 0.6407 0.5000
# crystal system	tetragonal

***

2.
# Y3FePt | the Alexandria database | PBE | optimized geometry
data_Y3FePt
_cell_length_a 5.0172
_cell_length_b 5.0172
_cell_length_c 5.0172
_cell_angle_alpha 90.00
_cell_angle_beta 90.00
_cell_angle_gamma 90.00
_space_group_name_H-M_alt 'P m -3 m'
_space_group_IT_number 221
_space_group_name_Hall '-P 4 2 3'
loop_
_atom_site_label
_atom_site_type_symbol
_atom_site_fract_x
_atom_site_fract_y
_atom_site_fract_z
Y1 Y 0.0000 0.0000 0.5000
Fe1 Fe 0.0000 0.0000 0.0000
Pt1 Pt 0.5000 0.5000 0.5000
# excess energy over the best structure of this formula in the dataset	0	meV per atom
# crystal system	cubic

***

3.
# YFe2Pt2 | the Alexandria database | PBE | optimized geometry
data_YFe2Pt2
_cell_length_a 7.4087
_cell_length_b 7.4087
_cell_length_c 2.8127
_cell_angle_alpha 90.00
_cell_angle_beta 90.00
_cell_angle_gamma 90.00
_space_group_name_H-M_alt 'P 4/m b m'
_space_group_IT_number 127
_space_group_name_Hall '-P 4 2ab'
loop_
_atom_site_label
_atom_site_type_symbol
_atom_site_fract_x
_atom_site_fract_y
_atom_site_fract_z
Y1 Y 0.0000 0.0000 0.0000
Fe1 Fe 0.1094 0.3906 0.0000
Pt1 Pt 0.1845 0.6845 0.5000
# excess energy over the best structure of this formula in the dataset	315	meV per atom
# crystal system	tetragonal

***

4.
# YFePt | the Alexandria database | PBE | optimized geometry
data_YFePt
_cell_length_a 4.1860
_cell_length_b 4.1860
_cell_length_c 3.9541
_cell_angle_alpha 90.00
_cell_angle_beta 90.00
_cell_angle_gamma 120.00
_space_group_name_H-M_alt 'P -6 m 2'
_space_group_IT_number 187
_space_group_name_Hall 'P -6 2'
loop_
_atom_site_label
_atom_site_type_symbol
_atom_site_fract_x
_atom_site_fract_y
_atom_site_fract_z
Y1 Y 0.0000 0.0000 0.0000
Fe1 Fe 0.6667 0.3333 0.5000
Pt1 Pt 0.3333 0.6667 0.5000
# crystal system	hexagonal

***

5.
# YFePt2 | the Alexandria database | PBE | optimized geometry
data_YFePt2
_cell_length_a 4.1829
_cell_length_b 4.1829
_cell_length_c 7.9768
_cell_angle_alpha 90.00
_cell_angle_beta 90.00
_cell_angle_gamma 90.00
_space_group_name_H-M_alt 'I 4/m m m'
_space_group_IT_number 139
_space_group_name_Hall '-I 4 2'
loop_
_atom_site_label
_atom_site_type_symbol
_atom_site_fract_x
_atom_site_fract_y
_atom_site_fract_z
Y1 Y 0.0000 0.0000 0.0000
Fe1 Fe 0.0000 0.0000 0.5000
Pt1 Pt 0.0000 0.5000 0.2500
# crystal system	tetragonal

***

6.
# YFe2Pt2 | the Alexandria database | PBE | optimized geometry
data_YFe2Pt2
_cell_length_a 3.7973
_cell_length_b 3.7973
_cell_length_c 12.3175
_cell_angle_alpha 90.00
_cell_angle_beta 90.00
_cell_angle_gamma 90.00
_space_group_name_H-M_alt 'I 4/m m m'
_space_group_IT_number 139
_space_group_name_Hall '-I 4 2'
loop_
_atom_site_label
_atom_site_type_symbol
_atom_site_fract_x
_atom_site_fract_y
_atom_site_fract_z
Y1 Y 0.0000 0.0000 0.0000
Fe1 Fe 0.0000 0.5000 0.2500
Pt1 Pt 0.0000 0.0000 0.3908
# excess energy over the best structure of this formula in the dataset	0	meV per atom
# crystal system	tetragonal

***

7.
# YFePt2 | the Alexandria database | PBE | optimized geometry
data_YFePt2
_cell_length_a 4.0167
_cell_length_b 4.0167
_cell_length_c 8.6315
_cell_angle_alpha 90.00
_cell_angle_beta 90.00
_cell_angle_gamma 90.00
_space_group_name_H-M_alt 'I -4 m 2'
_space_group_IT_number 119
_space_group_name_Hall 'I -4 -2'
loop_
_atom_site_label
_atom_site_type_symbol
_atom_site_fract_x
_atom_site_fract_y
_atom_site_fract_z
Y1 Y 0.0000 0.0000 0.0000
Fe1 Fe 0.0000 0.5000 0.7500
Pt1 Pt 0.0000 0.0000 0.5000
Pt2 Pt 0.0000 0.5000 0.2500
# crystal system	tetragonal

***

8.
# YFePt | the Alexandria database | PBE | optimized geometry
data_YFePt
_cell_length_a 6.4745
_cell_length_b 6.4745
_cell_length_c 6.4745
_cell_angle_alpha 90.00
_cell_angle_beta 90.00
_cell_angle_gamma 90.00
_space_group_name_H-M_alt 'F -4 3 m'
_space_group_IT_number 216
_space_group_name_Hall 'F -4 2 3'
loop_
_atom_site_label
_atom_site_type_symbol
_atom_site_fract_x
_atom_site_fract_y
_atom_site_fract_z
Y1 Y 0.0000 0.0000 0.0000
Fe1 Fe 0.2500 0.2500 0.7500
Pt1 Pt 0.2500 0.2500 0.2500
# crystal system	cubic

***

9.
# YFePt2 | the Alexandria database | PBE | optimized geometry
data_YFePt2
_cell_length_a 4.5725
_cell_length_b 4.5725
_cell_length_c 16.5280
_cell_angle_alpha 90.00
_cell_angle_beta 90.00
_cell_angle_gamma 90.00
_space_group_name_H-M_alt 'I -4 2 d'
_space_group_IT_number 122
_space_group_name_Hall 'I -4 2bw'
loop_
_atom_site_label
_atom_site_type_symbol
_atom_site_fract_x
_atom_site_fract_y
_atom_site_fract_z
Y1 Y 0.0000 0.0000 0.0000
Fe1 Fe 0.0000 0.0000 0.5000
Pt1 Pt 0.1476 0.2500 0.6250
# crystal system	tetragonal

***

10.
# YFePt2 | the Alexandria database | PBE | optimized geometry
data_YFePt2
_cell_length_a 3.5393
_cell_length_b 3.5393
_cell_length_c 5.9081
_cell_angle_alpha 90.00
_cell_angle_beta 90.00
_cell_angle_gamma 90.00
_space_group_name_H-M_alt 'P 4 m m'
_space_group_IT_number 99
_space_group_name_Hall 'P 4 -2'
loop_
_atom_site_label
_atom_site_type_symbol
_atom_site_fract_x
_atom_site_fract_y
_atom_site_fract_z
Y1 Y 0.0000 0.0000 0.0000
Fe1 Fe 0.5000 0.5000 0.3347
Pt1 Pt 0.0000 0.0000 0.4804
Pt2 Pt 0.5000 0.5000 0.7711
# crystal system	tetragonal

***

11.
# Y2ZrFePt | the Alexandria database | PBE | optimized geometry
data_Y2ZrFePt
_cell_length_a 5.3261
_cell_length_b 5.3261
_cell_length_c 4.6205
_cell_angle_alpha 90.00
_cell_angle_beta 90.00
_cell_angle_gamma 90.00
_space_group_name_H-M_alt 'P 4/m m m'
_space_group_IT_number 123
_space_group_name_Hall '-P 4 2'
loop_
_atom_site_label
_atom_site_type_symbol
_atom_site_fract_x
_atom_site_fract_y
_atom_site_fract_z
Y1 Y 0.0000 0.5000 0.0000
Zr1 Zr 0.0000 0.0000 0.5000
Fe1 Fe 0.5000 0.5000 0.5000
Pt1 Pt 0.5000 0.5000 0.0000
# crystal system	tetragonal

***

12.
# Zn2FePt | the Alexandria database | PBE | optimized geometry
data_Zn2FePt
_cell_length_a 2.7713
_cell_length_b 2.7713
_cell_length_c 25.4969
_cell_angle_alpha 90.00
_cell_angle_beta 90.00
_cell_angle_gamma 120.00
_space_group_name_H-M_alt 'R -3 m'
_space_group_IT_number 166
_space_group_name_Hall '-R 3 2"'
loop_
_atom_site_label
_atom_site_type_symbol
_atom_site_fract_x
_atom_site_fract_y
_atom_site_fract_z
Zn1 Zn 0.0000 0.0000 0.2471
Fe1 Fe 0.0000 0.0000 0.5000
Pt1 Pt 0.0000 0.0000 0.0000
# crystal system	trigonal

***

13.
# Zn3FePt | the Alexandria database | PBE | optimized geometry
data_Zn3FePt
_cell_length_a 4.7674
_cell_length_b 4.7674
_cell_length_c 4.7674
_cell_angle_alpha 90.00
_cell_angle_beta 90.00
_cell_angle_gamma 90.00
_space_group_name_H-M_alt 'P m -3 m'
_space_group_IT_number 221
_space_group_name_Hall '-P 4 2 3'
loop_
_atom_site_label
_atom_site_type_symbol
_atom_site_fract_x
_atom_site_fract_y
_atom_site_fract_z
Zn1 Zn 0.0000 0.0000 0.5000
Fe1 Fe 0.5000 0.5000 0.5000
Pt1 Pt 0.0000 0.0000 0.0000
# excess energy over the best structure of this formula in the dataset	0	meV per atom
# crystal system	cubic

***

14.
# Zn2FePt | the Alexandria database | PBE | optimized geometry
data_Zn2FePt
_cell_length_a 6.8716
_cell_length_b 6.8716
_cell_length_c 5.1965
_cell_angle_alpha 90.00
_cell_angle_beta 90.00
_cell_angle_gamma 90.00
_space_group_name_H-M_alt 'I -4 2 d'
_space_group_IT_number 122
_space_group_name_Hall 'I -4 2bw'
loop_
_atom_site_label
_atom_site_type_symbol
_atom_site_fract_x
_atom_site_fract_y
_atom_site_fract_z
Zn1 Zn 0.2454 0.2500 0.1250
Fe1 Fe 0.0000 0.0000 0.0000
Pt1 Pt 0.0000 0.0000 0.5000
# crystal system	tetragonal

***

15.
# ZnFePt2 | the Alexandria database | PBE | optimized geometry
data_ZnFePt2
_cell_length_a 2.8019
_cell_length_b 3.6458
_cell_length_c 5.6416
_cell_angle_alpha 90.00
_cell_angle_beta 90.00
_cell_angle_gamma 90.00
_space_group_name_H-M_alt 'P m m m'
_space_group_IT_number 47
_space_group_name_Hall '-P 2 2'
loop_
_atom_site_label
_atom_site_type_symbol
_atom_site_fract_x
_atom_site_fract_y
_atom_site_fract_z
Zn1 Zn 0.0000 0.0000 0.0000
Fe1 Fe 0.0000 0.0000 0.5000
Pt1 Pt 0.5000 0.5000 0.2534
# crystal system	orthorhombic

***

16.
# Zn2FePt | the Alexandria database | PBE | optimized geometry
data_Zn2FePt
_cell_length_a 8.8120
_cell_length_b 2.7630
_cell_length_c 4.7083
_cell_angle_alpha 90.00
_cell_angle_beta 101.27
_cell_angle_gamma 90.00
_space_group_name_H-M_alt 'C 1 2/m 1'
_space_group_IT_number 12
_space_group_name_Hall '-C 2y'
loop_
_atom_site_label
_atom_site_type_symbol
_atom_site_fract_x
_atom_site_fract_y
_atom_site_fract_z
Zn1 Zn 0.2486 0.0000 0.2444
Fe1 Fe 0.0000 0.5000 0.0000
Pt1 Pt 0.0000 0.0000 0.5000
# crystal system	monoclinic

***

17.
# Zn3FePt12 | the Alexandria database | PBE | optimized geometry
data_Zn3FePt12
_cell_length_a 3.9340
_cell_length_b 3.9340
_cell_length_c 15.6339
_cell_angle_alpha 90.00
_cell_angle_beta 90.00
_cell_angle_gamma 90.00
_space_group_name_H-M_alt 'P 4/m m m'
_space_group_IT_number 123
_space_group_name_Hall '-P 4 2'
loop_
_atom_site_label
_atom_site_type_symbol
_atom_site_fract_x
_atom_site_fract_y
_atom_site_fract_z
Zn1 Zn 0.0000 0.0000 0.0000
Zn2 Zn 0.0000 0.0000 0.2499
Fe1 Fe 0.0000 0.0000 0.5000
Pt1 Pt 0.0000 0.5000 0.1255
Pt2 Pt 0.0000 0.5000 0.3774
Pt3 Pt 0.5000 0.5000 0.0000
Pt4 Pt 0.5000 0.5000 0.2514
Pt5 Pt 0.5000 0.5000 0.5000
# crystal system	tetragonal

***

18.
# Zn2FePt | the Alexandria database | PBE | optimized geometry
data_Zn2FePt
_cell_length_a 2.8390
_cell_length_b 4.4192
_cell_length_c 8.9496
_cell_angle_alpha 90.00
_cell_angle_beta 90.00
_cell_angle_gamma 90.00
_space_group_name_H-M_alt 'I m m 2'
_space_group_IT_number 44
_space_group_name_Hall 'I 2 -2'
loop_
_atom_site_label
_atom_site_type_symbol
_atom_site_fract_x
_atom_site_fract_y
_atom_site_fract_z
Zn1 Zn 0.0000 0.0000 0.0000
Zn2 Zn 0.0000 0.5000 0.2443
Fe1 Fe 0.0000 0.0000 0.5005
Pt1 Pt 0.0000 0.5000 0.7525
# crystal system	orthorhombic

***

19.
# ZnFe2Pt5 | the Alexandria database | PBE | optimized geometry
data_ZnFe2Pt5
_cell_length_a 5.4801
_cell_length_b 10.8611
_cell_length_c 3.9619
_cell_angle_alpha 90.00
_cell_angle_beta 90.00
_cell_angle_gamma 90.00
_space_group_name_H-M_alt 'P b a m'
_space_group_IT_number 55
_space_group_name_Hall '-P 2 2ab'
loop_
_atom_site_label
_atom_site_type_symbol
_atom_site_fract_x
_atom_site_fract_y
_atom_site_fract_z
Zn1 Zn 0.0000 0.0000 0.0000
Fe1 Fe 0.2194 0.3684 0.5000
Pt1 Pt 0.0000 0.5000 0.0000
Pt2 Pt 0.0325 0.7548 0.0000
Pt3 Pt 0.2228 0.1166 0.5000
# crystal system	orthorhombic

***

20.
# Zn2FePt | the Alexandria database | PBE | optimized geometry
data_Zn2FePt
_cell_length_a 5.3675
_cell_length_b 7.5342
_cell_length_c 2.7644
_cell_angle_alpha 90.00
_cell_angle_beta 90.00
_cell_angle_gamma 90.00
_space_group_name_H-M_alt 'C m m m'
_space_group_IT_number 65
_space_group_name_Hall '-C 2 2'
loop_
_atom_site_label
_atom_site_type_symbol
_atom_site_fract_x
_atom_site_fract_y
_atom_site_fract_z
Zn1 Zn 0.2500 0.2500 0.0000
Fe1 Fe 0.0000 0.0000 0.5000
Pt1 Pt 0.0000 0.5000 0.5000
# crystal system	orthorhombic

***

21.
# ZnFe3Pt6 | the Alexandria database | PBE | optimized geometry
data_ZnFe3Pt6
_cell_length_a 7.2816
_cell_length_b 4.4753
_cell_length_c 9.5881
_cell_angle_alpha 90.00
_cell_angle_beta 110.80
_cell_angle_gamma 90.00
_space_group_name_H-M_alt 'P 1 21/m 1'
_space_group_IT_number 11
_space_group_name_Hall '-P 2yb'
loop_
_atom_site_label
_atom_site_type_symbol
_atom_site_fract_x
_atom_site_fract_y
_atom_site_fract_z
Zn1 Zn 0.1101 0.2500 0.0736
Fe1 Fe 0.1034 0.7500 0.7235
Fe2 Fe 0.2940 0.7500 0.5300
Fe3 Fe 0.3185 0.2500 0.8670
Pt1 Pt 0.0733 0.7500 0.2222
Pt2 Pt 0.1065 0.2500 0.5713
Pt3 Pt 0.2823 0.7500 0.0186
Pt4 Pt 0.2943 0.2500 0.3658
Pt5 Pt 0.4905 0.7500 0.3297
Pt6 Pt 0.4940 0.7500 0.8305
# crystal system	monoclinic

***

22.
# ZnFePt2 | the Alexandria database | PBE | optimized geometry
data_ZnFePt2
_cell_length_a 9.1717
_cell_length_b 2.7840
_cell_length_c 4.6184
_cell_angle_alpha 90.00
_cell_angle_beta 100.57
_cell_angle_gamma 90.00
_space_group_name_H-M_alt 'C 1 m 1'
_space_group_IT_number 8
_space_group_name_Hall 'C -2y'
loop_
_atom_site_label
_atom_site_type_symbol
_atom_site_fract_x
_atom_site_fract_y
_atom_site_fract_z
Zn1 Zn 0.0000 0.0000 0.0000
Fe1 Fe 0.2454 0.0000 0.6972
Pt1 Pt 0.0010 0.5000 0.5115
Pt2 Pt 0.2481 0.5000 0.1936
# crystal system	monoclinic

***

23.
# Zn2FePt | the Alexandria database | PBE | optimized geometry
data_Zn2FePt
_cell_length_a 2.7758
_cell_length_b 3.6328
_cell_length_c 5.4943
_cell_angle_alpha 90.00
_cell_angle_beta 90.00
_cell_angle_gamma 90.00
_space_group_name_H-M_alt 'P m m m'
_space_group_IT_number 47
_space_group_name_Hall '-P 2 2'
loop_
_atom_site_label
_atom_site_type_symbol
_atom_site_fract_x
_atom_site_fract_y
_atom_site_fract_z
Zn1 Zn 0.0000 0.0000 0.2426
Fe1 Fe 0.5000 0.5000 0.0000
Pt1 Pt 0.5000 0.5000 0.5000
# crystal system	orthorhombic

***

24.
# Zn2FePt | the Alexandria database | PBE | optimized geometry
data_Zn2FePt
_cell_length_a 2.7489
_cell_length_b 3.7514
_cell_length_c 5.4519
_cell_angle_alpha 90.00
_cell_angle_beta 90.00
_cell_angle_gamma 90.00
_space_group_name_H-M_alt 'P m m 2'
_space_group_IT_number 25
_space_group_name_Hall 'P 2 -2'
loop_
_atom_site_label
_atom_site_type_symbol
_atom_site_fract_x
_atom_site_fract_y
_atom_site_fract_z
Zn1 Zn 0.0000 0.0000 0.0000
Zn2 Zn 0.5000 0.5000 0.2566
Fe1 Fe 0.0000 0.0000 0.5002
Pt1 Pt 0.5000 0.5000 0.7449
# crystal system	orthorhombic

***

25.
# ZnFe2Pt9 | the Alexandria database | PBE | optimized geometry
data_ZnFe2Pt9
_cell_length_a 3.9248
_cell_length_b 3.9248
_cell_length_c 11.7382
_cell_angle_alpha 90.00
_cell_angle_beta 90.00
_cell_angle_gamma 90.00
_space_group_name_H-M_alt 'P 4/m m m'
_space_group_IT_number 123
_space_group_name_Hall '-P 4 2'
loop_
_atom_site_label
_atom_site_type_symbol
_atom_site_fract_x
_atom_site_fract_y
_atom_site_fract_z
Zn1 Zn 0.0000 0.0000 0.0000
Fe1 Fe 0.0000 0.0000 0.3308
Pt1 Pt 0.0000 0.5000 0.1697
Pt2 Pt 0.0000 0.5000 0.5000
Pt3 Pt 0.5000 0.5000 0.0000
Pt4 Pt 0.5000 0.5000 0.3348
# crystal system	tetragonal

***

26.
# ZnFe3Pt | the Alexandria database | PBE | optimized geometry
data_ZnFe3Pt
_cell_length_a 4.3334
_cell_length_b 4.3334
_cell_length_c 4.3334
_cell_angle_alpha 90.00
_cell_angle_beta 90.00
_cell_angle_gamma 90.00
_space_group_name_H-M_alt 'P m -3 m'
_space_group_IT_number 221
_space_group_name_Hall '-P 4 2 3'
loop_
_atom_site_label
_atom_site_type_symbol
_atom_site_fract_x
_atom_site_fract_y
_atom_site_fract_z
Zn1 Zn 0.0000 0.0000 0.0000
Fe1 Fe 0.0000 0.0000 0.5000
Pt1 Pt 0.5000 0.5000 0.5000
# excess energy over the best structure of this formula in the dataset	18	meV per atom
# crystal system	cubic

***

These records have ΔE_f values of -714; -27; -138; -530; -572; -453; -570; 321; -175; -440; 450; -148; 558; 113; -383; -194; -316; -162; -279; -182; -252; -319; -210; -185; -264; 1098 meV per atom, in the order they appear.
These records have spin magnetization values of 2.90; 0.00; 0.00; 2.09; 3.07; 6.00; 3.17; 2.95; 2.78; 3.46; 0.00; 2.58; 3.36; 2.69; 3.65; 2.84; 4.17; 2.71; 8.05; 2.51; 11.27; 3.34; 2.37; 2.78; 9.40; 8.50 μB per formula unit, in the order they appear.